No. 1
Y2AgS | Alexandria via LeMat-Bulk | PBE | relaxed; VASP energy = -0.436 Ry/atom; formation energy (no corrections) = -953 meV/atom; space-group type = No. 160
1.0
-2.969 1.903 -1.459
-2.553 -1.823 -2.174
-6.005 -1.646 5.081
Ag Y S
1 2 1
Direct
0.668 0.668 0.997
0.245 0.245 0.264
0.088 0.088 0.735
0.499 0.499 0.504

No. 2
Y6AgS4 | Alexandria via LeMat-Bulk | PBE | relaxed; VASP energy = -0.502 Ry/atom; formation energy (no corrections) = -1539 meV/atom; space-group type = No. 63
1.0
3.926 0.000 0.000
-1.963 6.476 0.000
0.000 0.000 20.222
Y S Ag
12 8 2
Direct
0.335 0.670 0.250
0.227 0.454 0.915
0.955 0.910 0.661
0.500 0.000 0.500
0.045 0.090 0.339
0.227 0.454 0.585
0.773 0.546 0.085
0.773 0.546 0.415
0.665 0.330 0.750
0.500 0.000 0.000
0.045 0.090 0.161
0.955 0.910 0.839
0.138 0.277 0.039
0.591 0.182 0.622
0.591 0.182 0.878
0.409 0.818 0.378
0.862 0.723 0.539
0.409 0.818 0.122
0.862 0.723 0.961
0.138 0.277 0.461
0.660 0.319 0.250
0.340 0.681 0.750

No. 3
YAgS3 | Alexandria via LeMat-Bulk | PBE | relaxed; VASP energy = -0.336 Ry/atom; formation energy (no corrections) = -230 meV/atom; space-group type = No. 221
1.0
5.251 0.000 0.000
0.000 5.251 0.000
0.000 0.000 5.251
S Y Ag
3 1 1
Direct
0.000 0.000 0.500
0.500 0.000 0.000
0.000 0.500 0.000
0.000 0.000 0.000
0.500 0.500 0.500

No. 4
YAgS3 | Alexandria via LeMat-Bulk | PBE | relaxed; VASP energy = -0.343 Ry/atom; formation energy (no corrections) = -334 meV/atom; space-group type = No. 221
1.0
4.774 0.000 0.000
0.000 4.774 0.000
0.000 0.000 4.774
S Y Ag
3 1 1
Direct
0.000 0.500 0.000
0.500 0.000 0.000
0.000 0.000 0.500
0.500 0.500 0.500
0.000 0.000 0.000